(1)
DFT (GGA-PBE) results for crystalline DyLuMnIr at its relaxed geometry.

a = 4.8573 Å, b = 4.8573 Å, c = 4.8573 Å
α = 60.00°, β = 60.00°, γ = 60.00°
With the nearest neighbours (Å) after each atom.
Sites, in units of the cell vectors:
1 Ir 0.0000 0.0000 0.0000  4 Dy 2.97, 4 Lu 2.97
2 Lu 0.7500 0.7500 0.7500  4 Ir 2.97, 4 Mn 2.97
3 Mn 0.5000 0.5000 0.5000  4 Dy 2.97, 4 Lu 2.97
4 Dy 0.2500 0.2500 0.2500  4 Mn 2.97, 4 Ir 2.97

Results
- Calculated formation energy: -0.357 eV per atom
- Space-group type: F-43m, No. 216
- Calculated total energy: -7.145 eV/atom

=====

(2)
DFT (GGA-PBE) results for crystalline SrAl2Ni9 at its relaxed geometry.

a = 8.1185 Å, b = 8.1183 Å, c = 2.7200 Å
α = 90.00°, β = 90.00°, γ = 120.00°
With the nearest neighbours (Å) after each atom.
Sites, in units of the cell vectors:
1 Ni 0.1909 0.3818 0.5000  2 Al 2.42, 6 Ni 2.58-2.68
2 Ni 0.1909 0.8091 0.5000  2 Al 2.42, 6 Ni 2.58-2.68
3 Ni 0.0000 0.5000 0.0000  2 Al 2.34, 8 Ni 2.58
4 Al 0.6667 0.3333 0.0000  9 Ni 2.34-2.42
5 Ni 0.5000 0.0000 0.0000  2 Al 2.34, 8 Ni 2.58
6 Ni 0.8091 0.1909 0.5000  2 Al 2.42, 6 Ni 2.58-2.68
7 Ni 0.3818 0.1909 0.5000  2 Al 2.42, 6 Ni 2.58-2.68
8 Ni 0.6182 0.8091 0.5000  2 Al 2.42, 6 Ni 2.58-2.68
9 Sr 0.0000 0.0000 0.0000  2 Sr 2.72, 12 Ni 3.01
10 Ni 0.5000 0.5000 0.0000  2 Al 2.34, 8 Ni 2.58
11 Al 0.3333 0.6667 0.0000  9 Ni 2.34-2.42
12 Ni 0.8091 0.6182 0.5000  2 Al 2.42, 6 Ni 2.58-2.68

Results
- Calculated formation energy: -0.053 eV per atom
- Space-group type: P6/mmm, No. 191
- Calculated total energy: -5.153 eV/atom

=====

(3)
DFT (GGA-PBE) results for crystalline La2Sc2Ge at its relaxed geometry.

a = 7.4232 Å, b = 7.4232 Å, c = 4.9954 Å
α = 90.00°, β = 90.00°, γ = 90.00°
With the nearest neighbours (Å) after each atom.
Sites, in units of the cell vectors:
1 La 0.6587 0.8413 0.5000  6 Sc 3.20-3.39, 1 La 3.33
2 Ge 0.0000 0.0000 0.0000  4 Sc 2.82
3 Sc 0.8492 0.6508 0.0000  2 Ge 2.82
4 Sc 0.1508 0.3492 0.0000  2 Ge 2.82
5 Sc 0.3492 0.8492 0.0000  2 Ge 2.82
6 La 0.3413 0.1587 0.5000  6 Sc 3.20-3.39, 1 La 3.33
7 La 0.1587 0.6587 0.5000  6 Sc 3.20-3.39, 1 La 3.33
8 Sc 0.6508 0.1508 0.0000  2 Ge 2.82
9 Ge 0.5000 0.5000 0.0000  4 Sc 2.82
10 La 0.8413 0.3413 0.5000  6 Sc 3.20-3.39, 1 La 3.33

Results
- Calculated formation energy: -0.225 eV per atom
- Space-group type: P4/mbm, No. 127
- Energy relative to the lowest polymorph listed for this composition: 0 meV/atom
- Calculated total energy: -5.652 eV/atom

=====

(4)
DFT (GGA-PBE) results for crystalline Ti4CoNi at its relaxed geometry.

a = 7.9610 Å, b = 7.9610 Å, c = 7.9610 Å
α = 60.00°, β = 60.00°, γ = 60.00°
With the nearest neighbours (Å) after each atom.
Sites, in units of the cell vectors:
1 Ti 0.6327 0.6327 0.6327  3 Co 2.45, 3 Ni 2.57
2 Ti 0.4365 0.0635 0.4365  2 Ni 2.63, 2 Co 2.88, 2 Ti 2.89
3 Ti 0.6327 0.6327 0.1019  3 Co 2.45, 3 Ni 2.57
4 Ti 0.6327 0.1019 0.6327  3 Co 2.45, 3 Ni 2.57
5 Ti 0.0635 0.0635 0.4365  2 Ni 2.63, 2 Co 2.88, 2 Ti 2.89
6 Ni 0.7571 0.4143 0.4143  6 Ti 2.57-2.63, 3 Ni 2.73
7 Ti 0.4365 0.0635 0.0635  2 Ni 2.63, 2 Co 2.88, 2 Ti 2.89
8 Ni 0.4143 0.7571 0.4143  6 Ti 2.57-2.63, 3 Ni 2.73
9 Ti 0.4365 0.4365 0.0635  2 Ni 2.63, 2 Co 2.88, 2 Ti 2.89
10 Ti 0.1874 0.8126 0.8126  2 Co 2.44
11 Ti 0.1874 0.8126 0.1874  2 Co 2.44
12 Ti 0.1874 0.1874 0.8126  2 Co 2.44
13 Ni 0.4143 0.4143 0.7571  6 Ti 2.57-2.63, 3 Ni 2.73
14 Co 0.8486 0.4541 0.8486  6 Ti 2.44-2.45
15 Co 0.8486 0.8486 0.4541  6 Ti 2.44-2.45
16 Ni 0.4143 0.4143 0.4143  6 Ti 2.57-2.63, 3 Ni 2.73
17 Ti 0.8126 0.1874 0.8126  2 Co 2.44
18 Ti 0.8126 0.1874 0.1874  2 Co 2.44
19 Ti 0.0635 0.4365 0.0635  2 Ni 2.63, 2 Co 2.88, 2 Ti 2.89
20 Co 0.4541 0.8486 0.8486  6 Ti 2.44-2.45
21 Ti 0.8126 0.8126 0.1874  2 Co 2.44
22 Ti 0.0635 0.4365 0.4365  2 Ni 2.63, 2 Co 2.88, 2 Ti 2.89
23 Ti 0.1019 0.6327 0.6327  3 Co 2.45, 3 Ni 2.57
24 Co 0.8486 0.8486 0.8486  6 Ti 2.44-2.45

Results
- Calculated formation energy: -0.294 eV per atom
- Space-group type: F-43m, No. 216
- Energy relative to the lowest polymorph listed for this composition: 0 meV/atom
- Calculated total energy: -7.705 eV/atom

=====

(5)
DFT (GGA-PBE) results for crystalline Rb3YW at its relaxed geometry.

a = 7.1611 Å, b = 7.1611 Å, c = 7.1611 Å
α = 90.00°, β = 90.00°, γ = 90.00°
With the nearest neighbours (Å) after each atom.
Sites, in units of the cell vectors:
1 Rb 0.5000 0.0000 0.0000  2 Y 3.58
2 W 0.5000 0.5000 0.5000  12 Rb 5.06
3 Rb 0.0000 0.0000 0.5000  2 Y 3.58
4 Rb 0.0000 0.5000 0.0000  2 Y 3.58
5 Y 0.0000 0.0000 0.0000  6 Rb 3.58

Results
- Calculated formation energy: 2.189 eV per atom
- Space-group type: Pm-3m, No. 221
- Energy relative to the lowest polymorph listed for this composition: 325 meV/atom
- Calculated total energy: -2.275 eV/atom

=====

(6)
DFT (GGA-PBE) results for crystalline K2AlFe at its relaxed geometry.

a = 6.5217 Å, b = 6.5217 Å, c = 6.5217 Å
α = 141.50°, β = 125.02°, γ = 69.11°
With the nearest neighbours (Å) after each atom.
Sites, in units of the cell vectors:
1 Fe 0.3277 0.8277 0.5000  2 Al 2.40
2 Al 0.4277 0.4277 0.0000  2 Fe 2.40
3 K 0.0245 0.0245 0.0000  4 K 3.67-3.91, 4 Fe 3.68-3.90, 4 Al 3.84
4 K 0.7201 0.2201 0.5000  4 K 3.67-3.91, 4 Al 3.75-3.81, 4 Fe 3.88

Results
- Calculated formation energy: 0.628 eV per atom
- Space-group type: Imm2, No. 44
- Calculated total energy: -2.972 eV/atom